Li2CuHg | SCAN | PBEsol geometry

Computed properties:
SG: Pmmm, No. 47
V in Å³ per cell: 58.5
Crystal system: orthorhombic
D(E_F) in states/eV per cell: 1.3
ΔH_f (0 K) in meV/atom: -174
Total energy in eV for the cell shown: -88.84

Cell: 3.1301 3.2784 5.6960 Å, 90.00 90.00 90.00°
Element x y z (fractional)
Li 0.0000 0.0000 0.2307
Li 0.0000 0.0000 0.7693
Cu 0.5000 0.5000 0.0000
Hg 0.5000 0.5000 0.5000

***

Li2CuHg | SCAN | PBEsol geometry

Computed properties:
SG: F-43m, No. 216
V in Å³ per cell: 59.2
Crystal system: cubic
D(E_F) in states/eV per cell: 1.3
ΔH_f (0 K) in meV/atom: -251
Total energy in eV for the cell shown: -89.15

Cell: 4.3754 4.3754 4.3754 Å, 60.00 60.00 60.00°
Element x y z (fractional)
Li 0.0000 0.0000 0.0000
Li 0.2500 0.2500 0.2500
Cu 0.5000 0.5000 0.5000
Hg 0.7500 0.7500 0.7500

***

Li2CuHg | SCAN | PBEsol geometry

Computed properties:
SG: I4/mmm, No. 139
V in Å³ per cell: 58.5
Crystal system: tetragonal
D(E_F) in states/eV per cell: 1.2
ΔH_f (0 K) in meV/atom: -212
Total energy in eV for the cell shown: -88.99

Cell: 4.6505 4.6505 4.6505 Å, 129.41 129.41 74.36°
Element x y z (fractional)
Li 0.2500 0.7500 0.5000
Li 0.7500 0.2500 0.5000
Cu 0.0000 0.0000 0.0000
Hg 0.5000 0.5000 0.0000